(1)
# CdSn2IrBr PBE-GGA relaxed
data_CdSn2IrBr
_chemical_formula_sum 'Cd1 Sn2 Ir1 Br1'
_cell_length_a 5.093
_cell_length_b 5.093
_cell_length_c 5.370
_cell_angle_alpha 90.00
_cell_angle_beta 90.00
_cell_angle_gamma 90.00
_space_group_name_H-M_alt 'P 4/m m m'
_space_group_IT_number 123
_space_group_name_Hall '-P 4 2'
loop_
_atom_site_label
_atom_site_type_symbol
_atom_site_fract_x
_atom_site_fract_y
_atom_site_fract_z
Cd1 Cd 0.000 0.000 0.000
Sn1 Sn 0.000 0.500 0.500
Ir1 Ir 0.000 0.000 0.500
Br1 Br 0.500 0.500 0.000
# ΔE_f (raw)   -0.26 eV/atom
# Energy relative to the lowest polymorph listed for this composition   0 meV/atom
# Uncorrected energy   -4.150 eV per atom

(2)
# BaGa2Os PBE-GGA relaxed
data_BaGa2Os
_chemical_formula_sum 'Ba4 Ga8 Os4'
_cell_length_a 5.463
_cell_length_b 5.463
_cell_length_c 15.814
_cell_angle_alpha 90.00
_cell_angle_beta 90.00
_cell_angle_gamma 90.00
_space_group_name_H-M_alt 'I 41/a m d'
_space_group_IT_number 141
loop_
_space_group_symop_operation_xyz
'x,y,z'
'-x,-y,-z'
'-y+1/4,x+3/4,z+1/4'
'y+1/4,-x+3/4,-z+1/4'
'-x+1/2,-y,z+1/2'
'x+1/2,y,-z+1/2'
'y+1/4,-x+1/4,z+3/4'
'-y+1/4,x+1/4,-z+3/4'
'x,-y,-z'
'-x,y,z'
'-y+1/4,-x+1/4,-z+3/4'
'y+1/4,x+1/4,z+3/4'
'-x+1/2,y,-z+1/2'
'x+1/2,-y,z+1/2'
'y+1/4,x+3/4,-z+1/4'
'-y+1/4,-x+3/4,z+1/4'
'x+1/2,y+1/2,z+1/2'
'-x+1/2,-y+1/2,-z+1/2'
'-y+3/4,x+1/4,z+3/4'
'y+3/4,-x+1/4,-z+3/4'
'-x,-y+1/2,z'
'x,y+1/2,-z'
'y+3/4,-x+3/4,z+1/4'
'-y+3/4,x+3/4,-z+1/4'
'x+1/2,-y+1/2,-z+1/2'
'-x+1/2,y+1/2,z+1/2'
'-y+3/4,-x+3/4,-z+1/4'
'y+3/4,x+3/4,z+1/4'
'-x,y+1/2,-z'
'x,-y+1/2,z'
'y+3/4,x+1/4,-z+3/4'
'-y+3/4,-x+1/4,z+3/4'
loop_
_atom_site_label
_atom_site_type_symbol
_atom_site_fract_x
_atom_site_fract_y
_atom_site_fract_z
Ba1 Ba 0.000 0.250 0.375
Ga1 Ga 0.000 0.000 0.000
Os1 Os 0.000 0.250 0.875
# Energy of formation   -0.009 eV per atom
# Uncorrected energy   -4.811 eV per atom

(3)
# LaFe2Ge2 PBE-GGA relaxed
data_LaFe2Ge2
_chemical_formula_sum 'La2 Fe4 Ge4'
_cell_length_a 4.137
_cell_length_b 4.137
_cell_length_c 10.129
_cell_angle_alpha 90.00
_cell_angle_beta 90.00
_cell_angle_gamma 90.00
_space_group_name_H-M_alt 'I 4/m m m'
_space_group_IT_number 139
_space_group_name_Hall '-I 4 2'
loop_
_atom_site_label
_atom_site_type_symbol
_atom_site_fract_x
_atom_site_fract_y
_atom_site_fract_z
La1 La 0.000 0.000 0.000
Fe1 Fe 0.000 0.500 0.250
Ge1 Ge 0.000 0.000 0.360
# Energy of formation   -0.454 eV per atom
# Uncorrected energy   -6.671 eV per atom

(4)
# Pr2Sn4Rh3 PBE-GGA relaxed
data_Pr2Sn4Rh3
_chemical_formula_sum 'Pr8 Sn16 Rh12'
_cell_length_a 5.852
_cell_length_b 10.147
_cell_length_c 13.469
_cell_angle_alpha 90.00
_cell_angle_beta 90.00
_cell_angle_gamma 90.00
_space_group_name_H-M_alt 'F m m m'
_space_group_IT_number 69
_space_group_name_Hall '-F 2 2'
loop_
_atom_site_label
_atom_site_type_symbol
_atom_site_fract_x
_atom_site_fract_y
_atom_site_fract_z
Pr1 Pr 0.000 0.000 0.124
Sn1 Sn 0.000 0.165 0.342
Rh1 Rh 0.000 0.000 0.500
Rh2 Rh 0.250 0.250 0.000
# Energy of formation   -0.646 eV per atom
# Uncorrected energy   -5.938 eV per atom